1.
This record from Alexandria describes a relaxed HoZn4Pb crystal. The functional is PBE.

Lattice parameters (Å, degrees): 5.5189 5.5189 5.5189 60.00 60.00 60.00
Element x y z (fractional)
Ho  0.0000  0.0000  0.0000
Zn  0.1225  0.6258  0.6258
Zn  0.6258  0.1225  0.6258
Zn  0.6258  0.6258  0.1225
Zn  0.6258  0.6258  0.6258
Pb  0.2500  0.2500  0.2500

Values from the calculation:
SG: F-43m
ΔH_f (0 K) in eV per atom: -0.1221
Volume in Å³/cell: 118.9

2.
This record from Alexandria describes a relaxed Tb12AlCu6 crystal. The functional is PBE.

Lattice parameters (Å, degrees): 8.5478 8.5478 8.5478 109.47 109.47 109.47
Element x y z (fractional)
Tb  0.1080  0.8124  0.2956
Tb  0.1876  0.2956  0.4832
Tb  0.1876  0.7044  0.8920
Tb  0.2956  0.1080  0.8124
Tb  0.2956  0.4832  0.1876
Tb  0.4832  0.1876  0.2956
Tb  0.5168  0.8124  0.7044
Tb  0.7044  0.5168  0.8124
Tb  0.7044  0.8920  0.1876
Tb  0.8124  0.2956  0.1080
Tb  0.8124  0.7044  0.5168
Tb  0.8920  0.1876  0.7044
Al  0.0000  0.0000  0.0000
Cu  0.1244  0.6244  0.5000
Cu  0.3756  0.5000  0.8756
Cu  0.5000  0.1244  0.6244
Cu  0.5000  0.8756  0.3756
Cu  0.6244  0.5000  0.1244
Cu  0.8756  0.3756  0.5000

Values from the calculation:
SG: Im-3
ΔH_f (0 K) in eV per atom: -0.1696
Volume in Å³/cell: 480.8

3.
This record from Alexandria describes a relaxed Tm7Ni2Pb2 crystal. The functional is PBE.

Lattice parameters (Å, degrees): 6.7307 6.7307 7.0154 90.00 90.00 107.15
Element x y z (fractional)
Tm  0.0000  0.0000  0.0000
Tm  0.0000  0.5000  0.2377
Tm  0.0000  0.5000  0.7623
Tm  0.5000  0.0000  0.2377
Tm  0.5000  0.0000  0.7623
Tm  0.5000  0.5000  0.2244
Tm  0.5000  0.5000  0.7756
Ni  0.2890  0.7110  0.0000
Ni  0.7110  0.2890  0.0000
Pb  0.1902  0.1902  0.5000
Pb  0.8098  0.8098  0.5000

Values from the calculation:
SG: Cmmm
ΔH_f (0 K) in eV per atom: -0.2376
Volume in Å³/cell: 303.7

4.
This record from Alexandria describes a relaxed CuReW2 crystal. The functional is PBE.

Lattice parameters (Å, degrees): 9.3519 9.3519 9.3519 17.00 17.00 17.00
Element x y z (fractional)
Cu  0.0000  0.0000  0.0000
Re  0.5000  0.5000  0.5000
W  0.2512  0.2512  0.2512
W  0.7488  0.7488  0.7488

Values from the calculation:
SG: R-3m
ΔH_f (0 K) in eV per atom: 0.3638
Energy above the lowest structure with this stoichiometry in meV/atom: 140
Volume in Å³/cell: 61.0

5.
This record from Alexandria describes a relaxed BaMgB12 crystal. The functional is PBE.

Lattice parameters (Å, degrees): 5.9426 5.9426 5.9426 60.00 60.00 60.00
Element x y z (fractional)
Ba  0.0000  0.0000  0.0000
Mg  0.5000  0.5000  0.5000
B  0.1016  0.1016  0.3984
B  0.1016  0.3984  0.1016
B  0.1016  0.3984  0.3984
B  0.3984  0.1016  0.1016
B  0.3984  0.1016  0.3984
B  0.3984  0.3984  0.1016
B  0.6016  0.6016  0.8984
B  0.6016  0.8984  0.6016
B  0.6016  0.8984  0.8984
B  0.8984  0.6016  0.6016
B  0.8984  0.6016  0.8984
B  0.8984  0.8984  0.6016

Values from the calculation:
SG: Fm-3m
ΔH_f (0 K) in eV per atom: -0.1904
Volume in Å³/cell: 148.4

6.
This record from Alexandria describes a relaxed Pr7ZnS5 crystal. The functional is PBE.

Lattice parameters (Å, degrees): 4.0891 7.0931 24.7075 89.97 90.00 73.32
Element x y z (fractional)
Pr  0.0307  0.4386  0.2500
Pr  0.1364  0.2265  0.5364
Pr  0.1357  0.2279  0.9637
Pr  0.3172  0.8655  0.3254
Pr  0.3182  0.8634  0.1745
Pr  0.4122  0.6760  0.8934
Pr  0.4130  0.6743  0.6066
Pr  0.5870  0.3257  0.3934
Pr  0.5878  0.3240  0.1066
Pr  0.6818  0.1366  0.8255
Pr  0.6828  0.1345  0.6746
Pr  0.8643  0.7721  0.0363
Pr  0.8636  0.7735  0.4636
Pr  0.9693  0.5614  0.7500
Zn  0.2976  0.9037  0.7503
Zn  0.7024  0.0963  0.2497
S  0.0464  0.4073  0.6418
S  0.0466  0.4070  0.8582
S  0.2260  0.0482  0.4294
S  0.2256  0.0490  0.0706
S  0.5000  0.5000  0.0000
S  0.5000  0.5000  0.5000
S  0.7744  0.9510  0.9294
S  0.7740  0.9518  0.5706
S  0.9534  0.5930  0.1418
S  0.9536  0.5927  0.3582

Values from the calculation:
SG: P-1
Volume in Å³/cell: 686.5
Formation energy without anion corrections in kJ per mole of atoms: -153.6